Entry 1:
DFT (PBE-GGA) results for a relaxed SrAs crystal.

Cell and atoms, written as POSCAR:
```
SrAs
1.0
3.4403 0.0000 0.0000
0.0000 3.8545 0.0000
0.0000 0.0000 4.1511
Sr As
1 1
direct
0.0000 0.0000 0.0000
0.5000 0.5000 0.5000
```

Computed properties:
- raw total energy (eV per atom) = -4.044
- calculated formation energy (meV per atom) = -878.2
- DOS at the Fermi energy (states/eV/cell) = 0.64
- crystal system = orthorhombic

***

Entry 2:
DFT (PBE-GGA) results for a relaxed SrAs crystal.

Cell and atoms, written as POSCAR:
```
SrAs
1.0
5.7569 -2.1988 0.0000
5.7569 2.1988 0.0000
-0.8320 0.0000 4.6518
Sr As
2 2
direct
0.1295 0.1295 0.2452
0.8705 0.8705 0.7548
0.4082 0.4082 0.3035
0.5918 0.5918 0.6965
```

Computed properties:
- raw total energy (eV per atom) = -4.154
- calculated formation energy (meV per atom) = -988.5
- DOS at the Fermi energy (states/eV/cell) = 0.59
- crystal system = monoclinic

***

Entry 3:
DFT (PBE-GGA) results for a relaxed Sr3As crystal.

Cell and atoms, written as POSCAR:
```
Sr3As
1.0
3.9470 -13.7505 0.0000
3.9470 13.7505 0.0000
0.0000 0.0000 4.4790
Sr As
6 2
direct
0.0610 0.4409 0.7500
0.0668 0.9332 0.7500
0.4409 0.0610 0.2500
0.5591 0.9390 0.7500
0.9332 0.0668 0.2500
0.9390 0.5591 0.2500
0.2795 0.7205 0.2500
0.7205 0.2795 0.7500
```

Computed properties:
- raw total energy (eV per atom) = -2.859
- calculated formation energy (meV per atom) = -435.3
- energy above the most stable polymorph in this dataset (meV per atom) = 189.0
- DOS at the Fermi energy (states/eV/cell) = 4.24
- crystal system = orthorhombic

***

Entry 4:
DFT (PBE-GGA) results for a relaxed Sr3As crystal.

Cell and atoms, written as POSCAR:
```
Sr3As
1.0
5.0079 0.0000 0.0000
0.0000 5.0079 0.0000
0.0000 0.0000 6.8358
Sr As
3 1
direct
0.0000 0.0000 0.0000
0.0000 0.5000 0.4597
0.5000 0.0000 0.4597
0.5000 0.5000 0.1817
```

Computed properties:
- raw total energy (eV per atom) = -2.801
- calculated formation energy (meV per atom) = -377.5
- energy above the most stable polymorph in this dataset (meV per atom) = 246.8
- DOS at the Fermi energy (states/eV/cell) = 2.13
- crystal system = tetragonal